Entry 1:
VASP calculation (PBE-GGA) on a relaxed structure of SrIrIO6.

For the raw formation energy, the calculation gives -1130.5 meV/atom. The space-group type is P312. The calculation puts the energy at -52.016 eV/cell.

```
SrIrIO6
1.0
-2.8674 4.2517 1.5780
-4.5026 -0.7021 2.8325
2.8343 0.2194 4.5596
Sr Ir I O
1 1 1 6
direct
0.0000 0.0000 0.0000
0.6666 0.6667 0.5000
0.3333 0.3333 0.5000
0.0011 0.3670 0.2988
0.3670 0.0012 0.7012
0.6318 0.3670 0.7012
0.0011 0.6319 0.7012
0.3670 0.6318 0.2988
0.6318 0.0012 0.2988
```

=====

Entry 2:
VASP calculation (PBE-GGA) on a relaxed structure of SnTe2PF.

For the raw formation energy, the calculation gives 619.5 meV/atom. The space-group type is P4/mmm. The calculation puts the energy at -14.470 eV/cell.

```
SnTe2PF
1.0
5.6995 0.0000 0.0000
0.0000 5.0172 0.0000
0.0000 0.0000 5.6995
P Te Sn F
1 2 1 1
direct
0.0000 0.5000 0.0000
0.0000 0.0000 0.5000
0.5000 0.0000 0.0000
0.0000 0.0000 0.0000
0.5000 0.5000 0.5000
```

=====

Entry 3:
VASP calculation (PBE-GGA) on a relaxed structure of PmNd2Pd.

The formation enthalpy at 0 K comes out at -1.0 eV per formula unit. The space-group type is R-3m. The calculation puts the offset from the most stable computed form at 154 meV/atom. The calculation puts the energy at -20.496 eV/cell.

```
PmNd2Pd
1.0
3.8288 0.0000 0.0000
1.9144 3.3158 0.0000
1.9144 1.1053 9.8889
Nd Pd Pm
2 1 1
direct
0.2682 0.2682 0.1953
0.7318 0.7318 0.8047
0.0000 0.0000 0.0000
0.5000 0.5000 0.5000
```